(1)
Compound: Al2CuHg
Source: Alexandria
Functional: GGA-PBEsol
Structure: optimized geometry

* electronic total energy: -12.76 eV per formula unit
* space-group type: P4/mmm (123)
* formation energy from the elements: 0.08 eV/atom

a = 4.040 Å, b = 4.040 Å, c = 3.936 Å
α = 90.00°, β = 90.00°, γ = 90.00°
Fractional coordinates of all 4 atoms:
1 Al 0.000 0.500 0.000
2 Al 0.500 0.000 0.000
3 Cu 0.000 0.000 0.500
4 Hg 0.500 0.500 0.500

***

(2)
Compound: Al2CuHg
Source: Alexandria
Functional: GGA-PBEsol
Structure: optimized geometry

* electronic total energy: -12.71 eV per formula unit
* space-group type: Immm (71)
* formation energy from the elements: 0.09 eV/atom

a = 2.760 Å, b = 4.510 Å, c = 11.130 Å
α = 90.00°, β = 90.00°, γ = 90.00°
Fractional coordinates of all 8 atoms:
1 Al 0.000 0.000 0.200
2 Al 0.000 0.000 0.800
3 Al 0.500 0.500 0.300
4 Al 0.500 0.500 0.700
5 Cu 0.000 0.500 0.500
6 Cu 0.500 0.000 0.000
7 Hg 0.000 0.500 0.000
8 Hg 0.500 0.000 0.500

***

(3)
Compound: Al2CuHg
Source: Alexandria
Functional: GGA-PBEsol
Structure: optimized geometry

* electronic total energy: -12.74 eV per formula unit
* space-group type: I4/mmm (139)
* formation energy from the elements: 0.08 eV/atom

a = 4.053 Å, b = 4.053 Å, c = 7.847 Å
α = 90.00°, β = 90.00°, γ = 90.00°
Fractional coordinates of all 8 atoms:
1 Al 0.000 0.500 0.250
2 Al 0.000 0.500 0.750
3 Al 0.500 0.000 0.250
4 Al 0.500 0.000 0.750
5 Cu 0.000 0.000 0.000
6 Cu 0.500 0.500 0.500
7 Hg 0.000 0.000 0.500
8 Hg 0.500 0.500 0.000

***

(4)
Compound: HoAlCu4
Source: Alexandria
Functional: GGA-PBEsol
Structure: optimized geometry

* electronic total energy: -27.85 eV per formula unit
* space-group type: P-6m2 (187)
* formation energy from the elements: -0.25 eV/atom

a = 5.056 Å, b = 5.056 Å, c = 3.994 Å
α = 90.00°, β = 90.00°, γ = 120.00°
Fractional coordinates of all 6 atoms:
1 Ho 0.000 0.000 0.000
2 Al 0.667 0.333 0.000
3 Cu 0.002 0.501 0.500
4 Cu 0.333 0.667 0.000
5 Cu 0.499 0.501 0.500
6 Cu 0.499 0.998 0.500

***

(5)
Compound: HoAl8Cu4
Source: Alexandria
Functional: GGA-PBEsol
Structure: optimized geometry

* electronic total energy: -59.12 eV per formula unit
* space-group type: I4/mmm (139)
* formation energy from the elements: -0.32 eV/atom

a = 6.661 Å, b = 6.661 Å, c = 6.661 Å
α = 98.36°, β = 98.36°, γ = 135.17°
Fractional coordinates of all 13 atoms:
1 Ho 0.000 0.000 0.000
2 Al 0.000 0.347 0.347
3 Al 0.000 0.653 0.653
4 Al 0.282 0.500 0.782
5 Al 0.347 0.000 0.347
6 Al 0.500 0.282 0.782
7 Al 0.500 0.718 0.218
8 Al 0.653 0.000 0.653
9 Al 0.718 0.500 0.218
10 Cu 0.000 0.000 0.500
11 Cu 0.000 0.500 0.000
12 Cu 0.500 0.000 0.000
13 Cu 0.500 0.500 0.500

***

(6)
Compound: AlCuI2
Source: Alexandria
Functional: GGA-PBEsol
Structure: optimized geometry

* electronic total energy: -11.69 eV per formula unit
* formation energy without anion corrections: 66.9 meV/atom
* space-group type: I-42d (122)

a = 7.651 Å, b = 7.651 Å, c = 7.864 Å
α = 90.00°, β = 90.00°, γ = 90.00°
Fractional coordinates of all 16 atoms:
1 Al 0.000 0.000 0.000
2 Al 0.000 0.500 0.250
3 Al 0.500 0.000 0.750
4 Al 0.500 0.500 0.500
5 Cu 0.000 0.000 0.500
6 Cu 0.000 0.500 0.750
7 Cu 0.500 0.000 0.250
8 Cu 0.500 0.500 0.000
9 I 0.187 0.250 0.625
10 I 0.250 0.687 0.875
11 I 0.250 0.813 0.375
12 I 0.313 0.250 0.125
13 I 0.687 0.750 0.125
14 I 0.750 0.187 0.375
15 I 0.750 0.313 0.875
16 I 0.813 0.750 0.625

***

(7)
Compound: AlCuSb2I
Source: Alexandria
Functional: GGA-PBEsol
Structure: optimized geometry

* electronic total energy: -16.58 eV per formula unit
* formation energy without anion corrections: 544.8 meV/atom
* space-group type: P4/mmm (123)

a = 5.004 Å, b = 5.004 Å, c = 5.371 Å
α = 90.00°, β = 90.00°, γ = 90.00°
Fractional coordinates of all 5 atoms:
1 Al 0.000 0.000 0.000
2 Cu 0.500 0.500 0.500
3 Sb 0.000 0.500 0.500
4 Sb 0.500 0.000 0.500
5 I 0.500 0.500 0.000